(1)
{
  "formula": "LaSe2Br",
  "functional": "GGA-PBE",
  "state": "relaxed",
  "lattice_angstrom": [[-0.053, 0.126, -7.561], [4.338, -0.646, -6.160], [1.247, -4.151, -6.197]],
  "species": ["La", "Se", "Se", "Br"],
  "fractional_positions": [[0.727, 0.727, 0.727], [0.310, 0.310, 0.310], [0.985, 0.985, 0.985], [0.478, 0.478, 0.478]],
  "dos_at_fermi_per_ev_atom": 0.19,
  "magnetic_moment_mub_per_fu": 0.0,
  "e_form_raw_ev_per_atom": -1.1725,
  "dft_energy_ev_per_atom": -4.56
}

---

(2)
{
  "formula": "LiNd3Sm3Se8",
  "functional": "GGA-PBE",
  "state": "relaxed",
  "lattice_angstrom": [[8.336, 0.000, 0.000], [-4.168, 7.219, -0.025], [0.000, -4.789, 6.841]],
  "species": ["Se", "Se", "Se", "Se", "Se", "Se", "Se", "Se", "Nd", "Nd", "Nd", "Sm", "Sm", "Sm", "Li"],
  "fractional_positions": [[0.749, 0.497, 0.746], [0.755, 0.510, 0.258], [0.755, 0.003, 0.258], [0.248, 0.003, 0.258], [0.245, 0.490, 0.742], [0.752, 0.997, 0.742], [0.251, 0.503, 0.254], [0.245, 0.997, 0.742], [0.000, 0.000, 0.000], [0.500, 0.500, 0.000], [0.000, 0.500, 0.000], [0.500, 0.500, 0.500], [0.500, 0.000, 0.500], [0.000, 0.500, 0.500], [0.000, 0.000, 0.500]],
  "dos_at_fermi_per_ev_atom": 0.31,
  "magnetic_moment_mub_per_fu": 0.0,
  "e_form_raw_ev_per_atom": -1.8136,
  "dft_energy_ev_per_atom": -5.70
}

---

(3)
{
  "formula": "Np2PN",
  "functional": "GGA-PBE",
  "state": "relaxed",
  "lattice_angstrom": [[3.614, 0.000, 0.000], [1.807, 3.130, 0.000], [1.807, 1.043, 6.430]],
  "species": ["Np", "Np", "P", "N"],
  "fractional_positions": [[0.095, 0.095, 0.715], [0.241, 0.241, 0.278], [0.669, 0.669, 0.992], [0.495, 0.495, 0.516]],
  "dos_at_fermi_per_ev_atom": 1.86,
  "magnetic_moment_mub_per_fu": 7.8,
  "e_form_raw_ev_per_atom": -0.7207,
  "dft_energy_ev_per_atom": -10.62
}

---

(4)
{
  "formula": "CdInTe2",
  "functional": "GGA-PBE",
  "state": "relaxed",
  "lattice_angstrom": [[3.830, 0.000, 0.000], [0.000, 5.062, 0.000], [0.000, 0.000, 6.002]],
  "species": ["Cd", "In", "Te", "Te"],
  "fractional_positions": [[0.500, 0.000, 0.500], [0.000, 0.500, 0.500], [0.000, 0.000, 0.000], [0.500, 0.500, 0.000]],
  "dos_at_fermi_per_ev_atom": 0.34,
  "magnetic_moment_mub_per_fu": 0.0,
  "e_form_raw_ev_per_atom": 0.0366,
  "dft_energy_ev_per_atom": -2.45
}

---

(5)
{
  "formula": "Ca2RhO4",
  "functional": "GGA-PBE",
  "state": "relaxed",
  "lattice_angstrom": [[-2.379, 2.210, 0.157], [-1.288, -1.764, 5.333], [6.117, 6.329, 3.571]],
  "species": ["O", "O", "O", "O", "O", "O", "O", "O", "Ca", "Ca", "Ca", "Ca", "Rh", "Rh"],
  "fractional_positions": [[0.500, 0.714, 0.047], [0.000, 0.871, 0.302], [0.000, 0.629, 0.802], [0.000, 0.129, 0.698], [0.500, 0.286, 0.953], [0.500, 0.786, 0.547], [0.000, 0.371, 0.198], [0.500, 0.214, 0.453], [0.500, 0.914, 0.817], [0.500, 0.414, 0.683], [0.500, 0.586, 0.317], [0.500, 0.086, 0.183], [0.000, 0.500, 0.000], [0.000, 0.000, 0.500]],
  "dos_at_fermi_per_ev_atom": 0.46,
  "magnetic_moment_mub_per_fu": 1.0,
  "e_form_raw_ev_per_atom": -2.0407,
  "dft_energy_ev_per_atom": -6.50
}

---

(6)
{
  "formula": "Ba3Bi2PbO9",
  "functional": "GGA-PBE",
  "state": "relaxed",
  "lattice_angstrom": [[6.224, 0.000, 0.000], [-3.112, 5.390, 0.000], [0.000, 0.000, 7.623]],
  "species": ["O", "O", "O", "O", "O", "O", "O", "O", "O", "Bi", "Bi", "Ba", "Ba", "Ba", "Pb"],
  "fractional_positions": [[0.833, 0.167, 0.666], [0.500, 0.500, 0.000], [0.167, 0.335, 0.334], [0.335, 0.167, 0.666], [0.000, 0.500, 0.000], [0.833, 0.665, 0.666], [0.167, 0.833, 0.334], [0.500, 0.000, 0.000], [0.665, 0.833, 0.334], [0.667, 0.333, 0.833], [0.333, 0.667, 0.167], [0.667, 0.333, 0.338], [0.000, 0.000, 0.000], [0.333, 0.667, 0.662], [0.000, 0.000, 0.500]],
  "dos_at_fermi_per_ev_atom": 0.11,
  "magnetic_moment_mub_per_fu": 0.0,
  "e_form_raw_ev_per_atom": -1.7601,
  "dft_energy_ev_per_atom": -5.88
}

---

(7)
{
  "formula": "Rb4InBr5",
  "functional": "GGA-PBE",
  "state": "relaxed",
  "lattice_angstrom": [[-6.334, 0.911, 2.771], [-5.193, -6.686, -0.896], [-0.627, -2.422, 8.137]],
  "species": ["Rb", "Rb", "Rb", "Rb", "Br", "Br", "Br", "Br", "Br", "In"],
  "fractional_positions": [[0.804, 0.801, 0.602], [0.605, 0.602, 0.199], [0.405, 0.398, 0.801], [0.206, 0.199, 0.398], [0.300, 0.802, 0.608], [0.711, 0.198, 0.392], [0.102, 0.608, 0.198], [0.458, 0.000, 0.000], [0.908, 0.392, 0.802], [0.011, 0.000, 0.000]],
  "dos_at_fermi_per_ev_atom": 0.00,
  "magnetic_moment_mub_per_fu": 0.0,
  "e_form_raw_ev_per_atom": -1.5301,
  "dft_energy_ev_per_atom": -3.03
}

---

(8)
{
  "formula": "La2Tl2W",
  "functional": "GGA-PBE",
  "state": "relaxed",
  "lattice_angstrom": [[-2.033, 3.458, 0.368], [-2.963, -1.499, -2.280], [-6.816, -2.392, 6.872]],
  "species": ["La", "La", "Tl", "Tl", "W"],
  "fractional_positions": [[0.414, 0.414, 0.171], [0.586, 0.586, 0.829], [0.250, 0.750, 0.500], [0.750, 0.250, 0.500], [0.000, 0.000, 0.000]],
  "dos_at_fermi_per_ev_atom": 1.23,
  "magnetic_moment_mub_per_fu": 0.8,
  "ef_ev_per_atom": 0.60,
  "dft_energy_ev_per_atom": -4.91
}

---

(9)
{
  "formula": "BeTc2P",
  "functional": "GGA-PBE",
  "state": "relaxed",
  "lattice_angstrom": [[-0.288, -1.573, 2.169], [-1.740, -0.537, -1.986], [5.162, -5.231, -3.109]],
  "species": ["Tc", "Tc", "P", "Be"],
  "fractional_positions": [[0.000, 0.000, 0.989], [0.500, 0.500, 0.267], [0.500, 0.500, 0.741], [0.000, 0.000, 0.503]],
  "dos_at_fermi_per_ev_atom": 0.70,
  "magnetic_moment_mub_per_fu": 0.0,
  "ef_ev_per_atom": 0.29,
  "dft_energy_ev_per_atom": -7.18
}

---

(10)
{
  "formula": "LaAuI2N",
  "functional": "GGA-PBE",
  "state": "relaxed",
  "lattice_angstrom": [[6.238, 0.000, 0.000], [0.000, 6.238, 0.000], [0.000, 0.000, 3.812]],
  "species": ["Au", "N", "I", "I", "La"],
  "fractional_positions": [[0.000, 0.000, 0.000], [0.000, 0.000, 0.500], [0.500, 0.000, 0.000], [0.000, 0.500, 0.000], [0.500, 0.500, 0.500]],
  "dos_at_fermi_per_ev_atom": 1.04,
  "magnetic_moment_mub_per_fu": 0.2,
  "e_form_raw_ev_per_atom": 0.1686,
  "dft_energy_ev_per_atom": -3.76
}

---

(11)
{
  "formula": "NaIO2",
  "functional": "GGA-PBE",
  "state": "relaxed",
  "lattice_angstrom": [[4.286, 0.000, 0.000], [0.000, 4.286, 0.000], [0.000, 0.000, 3.569]],
  "species": ["O", "O", "I", "Na"],
  "fractional_positions": [[0.000, 0.500, 0.000], [0.500, 0.000, 0.000], [0.000, 0.000, 0.000], [0.500, 0.500, 0.500]],
  "dos_at_fermi_per_ev_atom": 0.22,
  "magnetic_moment_mub_per_fu": 0.0,
  "e_form_raw_ev_per_atom": -0.6249,
  "dft_energy_ev_per_atom": -3.82
}

---

(12)
{
  "formula": "Pm2NdSb",
  "functional": "GGA-PBE",
  "state": "relaxed",
  "lattice_angstrom": [[-2.158, -3.553, 0.447], [6.335, -1.280, 0.852], [-0.957, 1.822, 9.855]],
  "species": ["Pm", "Pm", "Pm", "Pm", "Sb", "Sb", "Nd", "Nd"],
  "fractional_positions": [[0.638, 0.277, 0.041], [0.362, 0.723, 0.541], [0.638, 0.277, 0.459], [0.362, 0.723, 0.959], [0.763, 0.527, 0.750], [0.237, 0.473, 0.250], [0.940, 0.880, 0.250], [0.060, 0.120, 0.750]],
  "dos_at_fermi_per_ev_atom": 1.39,
  "magnetic_moment_mub_per_fu": 0.4,
  "e_form_raw_ev_per_atom": -0.5734,
  "dft_energy_ev_per_atom": -5.17
}

---

(13)
{
  "formula": "Nb3NiHg",
  "functional": "GGA-PBE",
  "state": "relaxed",
  "lattice_angstrom": [[-2.797, -3.709, -0.130], [3.691, -2.763, -0.583], [0.388, -0.454, 4.609]],
  "species": ["Nb", "Nb", "Nb", "Hg", "Ni"],
  "fractional_positions": [[0.000, 0.000, 0.500], [0.500, 0.000, 0.000], [0.000, 0.500, 0.000], [0.500, 0.500, 0.500], [0.000, 0.000, 0.000]],
  "dos_at_fermi_per_ev_atom": 2.63,
  "magnetic_moment_mub_per_fu": 0.0,
  "ef_ev_per_atom": 0.74,
  "dft_energy_ev_per_atom": -6.52
}

---

(14)
{
  "formula": "ZrNp2ScSb4",
  "functional": "GGA-PBE",
  "state": "relaxed",
  "lattice_angstrom": [[4.245, 0.000, 0.000], [0.000, 7.436, 0.158], [0.000, -2.569, 6.921]],
  "species": ["Zr", "Sc", "Np", "Np", "Sb", "Sb", "Sb", "Sb"],
  "fractional_positions": [[0.000, 0.000, 0.000], [0.500, 0.500, 0.000], [0.500, 0.000, 0.500], [0.000, 0.500, 0.500], [0.000, 0.256, 0.767], [0.000, 0.744, 0.233], [0.500, 0.755, 0.766], [0.500, 0.245, 0.234]],
  "dos_at_fermi_per_ev_atom": 2.94,
  "magnetic_moment_mub_per_fu": 0.0,
  "e_form_raw_ev_per_atom": -0.4890,
  "dft_energy_ev_per_atom": -7.65
}

---

(15)
{
  "formula": "TaSi3Bi",
  "functional": "GGA-PBE",
  "state": "relaxed",
  "lattice_angstrom": [[5.127, 0.000, 0.000], [0.000, 5.127, 0.000], [0.000, 0.000, 5.127]],
  "species": ["Bi", "Si", "Si", "Si", "Ta"],
  "fractional_positions": [[0.000, 0.000, 0.000], [0.000, 0.500, 0.000], [0.500, 0.000, 0.000], [0.000, 0.000, 0.500], [0.500, 0.500, 0.500]],
  "dos_at_fermi_per_ev_atom": 1.67,
  "magnetic_moment_mub_per_fu": 0.0,
  "e_form_raw_ev_per_atom": 2.2343,
  "dft_energy_ev_per_atom": -4.17
}

---

(16)
{
  "formula": "KLi2As2",
  "functional": "GGA-PBE",
  "state": "relaxed",
  "lattice_angstrom": [[8.367, 0.000, 0.000], [0.000, 8.367, 0.000], [0.000, 0.000, 2.813]],
  "species": ["K", "K", "Li", "Li", "Li", "Li", "As", "As", "As", "As"],
  "fractional_positions": [[0.500, 0.500, 0.000], [0.000, 0.000, 0.000], [0.623, 0.123, 0.000], [0.877, 0.623, 0.000], [0.123, 0.377, 0.000], [0.377, 0.877, 0.000], [0.665, 0.835, 0.500], [0.335, 0.165, 0.500], [0.835, 0.335, 0.500], [0.165, 0.665, 0.500]],
  "dos_at_fermi_per_ev_atom": 0.37,
  "magnetic_moment_mub_per_fu": 0.0,
  "ef_ev_per_atom": -0.46,
  "dft_energy_ev_per_atom": -3.30
}

---

(17)
{
  "formula": "SrOs2Se",
  "functional": "GGA-PBE",
  "state": "relaxed",
  "lattice_angstrom": [[4.884, 0.000, 0.000], [0.000, 3.363, 0.000], [0.000, 0.060, 4.964]],
  "species": ["Se", "Sr", "Os", "Os"],
  "fractional_positions": [[0.500, 0.250, 0.250], [0.500, 0.750, 0.750], [0.000, 0.225, 0.997], [0.000, 0.275, 0.503]],
  "dos_at_fermi_per_ev_atom": 0.88,
  "magnetic_moment_mub_per_fu": 0.0,
  "e_form_raw_ev_per_atom": 0.6004,
  "dft_energy_ev_per_atom": -6.31
}

---

(18)
{
  "formula": "Sr2HN2",
  "functional": "GGA-PBE",
  "state": "relaxed",
  "lattice_angstrom": [[4.764, 0.000, 0.000], [0.000, 4.764, 0.000], [2.382, 2.382, 3.709]],
  "species": ["Sr", "Sr", "N", "N", "H"],
  "fractional_positions": [[0.750, 0.250, 0.500], [0.250, 0.750, 0.500], [0.406, 0.406, 0.187], [0.594, 0.594, 0.813], [0.000, 0.000, 0.000]],
  "dos_at_fermi_per_ev_atom": 0.55,
  "magnetic_moment_mub_per_fu": 1.0,
  "dft_energy_ev_per_atom": -4.87
}

---

(19)
{
  "formula": "Li2CuP",
  "functional": "GGA-PBE",
  "state": "relaxed",
  "lattice_angstrom": [[-0.923, 0.829, -4.085], [-0.013, -1.864, -3.841], [-4.424, -1.494, 0.018]],
  "species": ["Li", "Li", "Cu", "P"],
  "fractional_positions": [[0.761, 0.761, 0.732], [0.993, 0.993, 0.009], [0.241, 0.241, 0.279], [0.506, 0.506, 0.480]],
  "dos_at_fermi_per_ev_atom": 0.12,
  "magnetic_moment_mub_per_fu": 0.0,
  "ef_ev_per_atom": -0.27,
  "dft_energy_ev_per_atom": -3.60
}

---

(20)
{
  "formula": "CuTeH2",
  "functional": "GGA-PBE",
  "state": "relaxed",
  "lattice_angstrom": [[3.609, -1.270, -1.226], [0.724, -3.934, -0.373], [0.424, -1.627, -3.648]],
  "species": ["H", "H", "Te", "Cu"],
  "fractional_positions": [[0.750, 0.750, 0.750], [0.250, 0.250, 0.250], [0.500, 0.500, 0.500], [0.000, 0.000, 0.000]],
  "dos_at_fermi_per_ev_atom": 0.65,
  "magnetic_moment_mub_per_fu": 0.0,
  "dft_energy_ev_per_atom": -2.64
}

---

(21)
{
  "formula": "Eu3Mg5Se12",
  "functional": "GGA-PBE",
  "state": "relaxed",
  "lattice_angstrom": [[-7.769, 10.181, -5.992], [-5.936, -3.875, 12.233], [13.059, 4.847, 2.425]],
  "species": ["Se", "Se", "Se", "Se", "Se", "Se", "Se", "Se", "Se", "Se", "Se", "Se", "Se", "Se", "Se", "Se", "Se", "Se", "Se", "Se", "Se", "Se", "Se", "Se", "Se", "Se", "Se", "Se", "Se", "Se", "Se", "Se", "Se", "Se", "Se", "Se", "Se", "Se", "Se", "Se", "Se", "Se", "Se", "Se", "Se", "Se", "Se", "Se", "Mg", "Mg", "Mg", "Mg", "Mg", "Mg", "Mg", "Mg", "Mg", "Mg", "Mg", "Mg", "Mg", "Mg", "Mg", "Mg", "Mg", "Mg", "Mg", "Mg", "Eu", "Eu", "Eu", "Eu", "Eu", "Eu", "Eu", "Eu", "Eu", "Eu", "Eu", "Eu"],
  "fractional_positions": [[0.421, 0.380, 0.598], [0.718, 0.120, 0.041], [0.921, 0.823, 0.541], [0.620, 0.041, 0.218], [0.959, 0.380, 0.282], [0.620, 0.579, 0.902], [0.880, 0.282, 0.459], [0.282, 0.880, 0.959], [0.902, 0.079, 0.620], [0.120, 0.402, 0.079], [0.218, 0.541, 0.620], [0.598, 0.880, 0.421], [0.218, 0.677, 0.098], [0.598, 0.718, 0.677], [0.421, 0.041, 0.323], [0.323, 0.541, 0.421], [0.079, 0.902, 0.120], [0.098, 0.921, 0.380], [0.402, 0.120, 0.579], [0.579, 0.620, 0.402], [0.041, 0.421, 0.823], [0.380, 0.421, 0.098], [0.459, 0.677, 0.079], [0.079, 0.177, 0.459], [0.541, 0.323, 0.921], [0.323, 0.782, 0.402], [0.902, 0.823, 0.782], [0.380, 0.959, 0.782], [0.120, 0.718, 0.541], [0.579, 0.959, 0.677], [0.541, 0.218, 0.120], [0.041, 0.620, 0.718], [0.098, 0.177, 0.218], [0.677, 0.459, 0.579], [0.718, 0.598, 0.177], [0.823, 0.921, 0.041], [0.823, 0.902, 0.282], [0.782, 0.323, 0.902], [0.282, 0.402, 0.823], [0.177, 0.079, 0.959], [0.677, 0.218, 0.598], [0.959, 0.579, 0.177], [0.459, 0.782, 0.880], [0.782, 0.459, 0.380], [0.880, 0.598, 0.921], [0.402, 0.282, 0.323], [0.177, 0.098, 0.718], [0.921, 0.098, 0.880], [0.625, 0.875, 0.250], [0.000, 0.000, 0.000], [0.500, 0.000, 0.000], [0.000, 0.500, 0.500], [0.500, 0.500, 0.500], [0.250, 0.375, 0.625], [0.125, 0.375, 0.250], [0.875, 0.625, 0.750], [0.375, 0.250, 0.125], [0.750, 0.625, 0.375], [0.750, 0.125, 0.875], [0.625, 0.750, 0.875], [0.500, 0.000, 0.500], [0.000, 0.500, 0.000], [0.125, 0.750, 0.375], [0.375, 0.125, 0.750], [0.250, 0.875, 0.125], [0.500, 0.500, 0.000], [0.875, 0.250, 0.625], [0.000, 0.000, 0.500], [0.250, 0.625, 0.875], [0.625, 0.375, 0.750], [0.375, 0.750, 0.625], [0.250, 0.125, 0.375], [0.125, 0.250, 0.875], [0.750, 0.875, 0.625], [0.625, 0.250, 0.375], [0.125, 0.875, 0.750], [0.875, 0.125, 0.250], [0.750, 0.375, 0.125], [0.875, 0.750, 0.125], [0.375, 0.625, 0.250]],
  "dos_at_fermi_per_ev_atom": 1.48,
  "magnetic_moment_mub_per_fu": 17.9,
  "e_form_raw_ev_per_atom": -0.9532,
  "dft_energy_ev_per_atom": -4.98
}

---

(22)
{
  "formula": "TlAs2IrBr",
  "functional": "GGA-PBE",
  "state": "relaxed",
  "lattice_angstrom": [[5.274, 0.000, 0.000], [0.000, 5.274, 0.000], [0.000, 0.000, 5.417]],
  "species": ["As", "As", "Tl", "Ir", "Br"],
  "fractional_positions": [[0.000, 0.500, 0.000], [0.500, 0.000, 0.000], [0.000, 0.000, 0.000], [0.500, 0.500, 0.500], [0.000, 0.000, 0.500]],
  "dos_at_fermi_per_ev_atom": 1.38,
  "magnetic_moment_mub_per_fu": 1.4,
  "e_form_raw_ev_per_atom": 1.7445,
  "dft_energy_ev_per_atom": -2.70
}